Record 1
CaAgIr (GGA-PBE, optimized geometry); relative energy among the computed polymorphs = 754 meV/atom; SG = F-43m; N(E_F) = 5.22 states/eV/f.u.; raw total energy = -11.60 eV/cell; energy of formation = 706 meV/atom
1.0
0.000 3.267 3.267
3.267 0.000 3.267
3.267 3.267 0.000
Ca Ag Ir
1 1 1
direct
0.000 0.000 0.000
0.750 0.750 0.750
0.250 0.250 0.250

Record 2
NbTeBr2 (GGA-PBE, optimized geometry); E_form (uncorrected) = -0.2745 eV/atom; relative energy among the computed polymorphs = 245 meV/atom; SG = I-42d; N(E_F) = 0.39 states/eV/f.u.; raw total energy = -35.31 eV/cell
1.0
-4.748 4.748 2.709
4.748 -4.748 2.709
4.748 4.748 -2.709
Nb Te Br
2 2 4
direct
0.000 0.000 0.000
0.750 0.250 0.500
0.250 0.750 0.500
0.500 0.500 0.000
0.375 0.244 0.369
0.756 0.125 0.131
0.875 0.006 0.631
0.994 0.625 0.869

Record 3
PuCd4Pb (GGA-PBE, optimized geometry); relative energy among the computed polymorphs = 46 meV/atom; SG = F-43m; N(E_F) = 17.02 states/eV/f.u.; raw total energy = -21.61 eV/cell; energy of formation = 14 meV/atom
1.0
0.000 4.259 4.259
4.259 0.000 4.259
4.259 4.259 0.000
Pu Cd Pb
1 4 1
direct
0.000 0.000 0.000
0.375 0.375 0.375
0.375 0.375 0.875
0.375 0.875 0.375
0.875 0.375 0.375
0.750 0.750 0.750

Record 4
Dy8Te4PtS3 (GGA-PBE, optimized geometry); E_form (uncorrected) = -1.5620 eV/atom; SG = R-3m; N(E_F) = 6.01 states/eV/f.u.; raw total energy = -92.80 eV/cell
1.0
4.126 2.382 6.976
-4.126 2.382 6.976
0.000 -4.764 6.976
Dy Te Pt S
8 4 1 3
direct
0.235 0.235 0.235
0.240 0.736 0.736
0.264 0.264 0.760
0.264 0.760 0.264
0.736 0.240 0.736
0.736 0.736 0.240
0.760 0.264 0.264
0.765 0.765 0.765
0.000 0.000 0.000
0.000 0.500 0.500
0.500 0.000 0.500
0.500 0.500 0.000
0.500 0.500 0.500
0.000 0.000 0.500
0.000 0.500 0.000
0.500 0.000 0.000

Record 5
Cd2CO4 (GGA-PBE, optimized geometry); E_form (uncorrected) = -1.0810 eV/atom; relative energy among the computed polymorphs = 0 meV/atom; SG = P2_1/m; raw total energy = -76.91 eV/cell
1.0
4.922 0.000 0.000
0.000 5.213 0.000
-0.905 0.000 7.192
Cd C O
4 2 8
direct
0.201 0.250 0.455
0.227 0.250 0.976
0.773 0.750 0.024
0.799 0.750 0.545
0.280 0.750 0.281
0.720 0.250 0.719
0.145 0.529 0.198
0.145 0.971 0.198
0.253 0.750 0.472
0.443 0.250 0.738
0.557 0.750 0.262
0.747 0.250 0.528
0.855 0.029 0.802
0.855 0.471 0.802

Record 6
CeSi2NiIr2 (GGA-PBE, optimized geometry); E_form (uncorrected) = -0.4421 eV/atom; SG = P4/mmm; N(E_F) = 4.76 states/eV/f.u.; raw total energy = -42.94 eV/cell
1.0
4.313 0.000 0.000
0.000 4.313 0.000
0.000 0.000 5.426
Ce Si Ni Ir
1 2 1 2
direct
0.000 0.000 0.000
0.000 0.500 0.500
0.500 0.000 0.500
0.000 0.000 0.500
0.500 0.500 0.242
0.500 0.500 0.758

Record 7
TaCdHg (GGA-PBE, optimized geometry); relative energy among the computed polymorphs = 110 meV/atom; SG = P3m1; N(E_F) = 2.51 states/eV/f.u.; raw total energy = -12.07 eV/cell; energy of formation = 332 meV/atom
1.0
3.034 0.000 0.000
-1.517 2.628 0.000
0.000 0.000 7.609
Ta Cd Hg
1 1 1
direct
0.000 0.000 0.000
0.667 0.333 0.329
0.333 0.667 0.675

Record 8
La4CoHg (GGA-PBE, optimized geometry); relative energy among the computed polymorphs = 827 meV/atom; SG = F-43m; N(E_F) = 10.00 states/eV/f.u.; raw total energy = -23.53 eV/cell; energy of formation = 599 meV/atom
1.0
0.000 4.500 4.500
4.500 0.000 4.500
4.500 4.500 0.000
La Co Hg
4 1 1
direct
0.125 0.125 0.125
0.125 0.125 0.626
0.125 0.626 0.125
0.626 0.125 0.125
0.750 0.750 0.750
0.500 0.500 0.500